1.
DFT (PBE) results for crystalline NaHo2Pd9 at its relaxed geometry.

Values from the calculation:
Its space-group type is P4/mmm (123). The mass density comes out at 10.6 Mg/m³. The value obtained for the electronic total energy is -5.364 eV/atom. Its density of states at the Fermi level is 9.699 states/eV per cell.

abc: 4.1257 4.1257 12.0511
angles: 90.00 90.00 90.00
Sites, in units of the cell vectors:
Na: 0.0000 0.0000 0.0000
Ho: 0.0000 0.0000 0.3296
Ho: 0.0000 0.0000 0.6704
Pd: 0.0000 0.5000 0.1641
Pd: 0.0000 0.5000 0.5000
Pd: 0.0000 0.5000 0.8359
Pd: 0.5000 0.0000 0.1641
Pd: 0.5000 0.0000 0.5000
Pd: 0.5000 0.0000 0.8359
Pd: 0.5000 0.5000 0.0000
Pd: 0.5000 0.5000 0.3309
Pd: 0.5000 0.5000 0.6691



2.
DFT (PBE) results for crystalline Sn2Ge2Bi at its relaxed geometry.

Values from the calculation:
Its space-group type is P4/mbm (127). The mass density comes out at 7.8 Mg/m³. The calculation puts the excess energy over the best structure of this formula in the dataset at 17 meV/atom. Its density of states at the Fermi level is 5.268 states/eV per cell.

abc: 8.1216 8.1216 3.8306
angles: 90.00 90.00 90.00
Sites, in units of the cell vectors:
Sn: 0.1567 0.3433 0.0000
Sn: 0.3433 0.8433 0.0000
Sn: 0.6567 0.1567 0.0000
Sn: 0.8433 0.6567 0.0000
Ge: 0.1334 0.6334 0.5000
Ge: 0.3666 0.1334 0.5000
Ge: 0.6334 0.8666 0.5000
Ge: 0.8666 0.3666 0.5000
Bi: 0.0000 0.0000 0.5000
Bi: 0.5000 0.5000 0.5000



3.
DFT (PBE) results for crystalline Zr4AlPb at its relaxed geometry.

Values from the calculation:
Its space-group type is F-43m (216). The mass density comes out at 7.1 Mg/m³. The value obtained for the electronic total energy is -6.717 eV/atom. Its density of states at the Fermi level is 6.469 states/eV per cell.

abc: 5.8183 5.8183 5.8183
angles: 60.00 60.00 60.00
Sites, in units of the cell vectors:
Zr: 0.1240 0.1240 0.1240
Zr: 0.1240 0.1240 0.6279
Zr: 0.1240 0.6279 0.1240
Zr: 0.6279 0.1240 0.1240
Al: 0.7500 0.7500 0.7500
Pb: 0.5000 0.5000 0.5000



4.
DFT (PBE) results for crystalline LiHgIr2 at its relaxed geometry.

Values from the calculation:
Its space-group type is P2/m (10). The mass density comes out at 15.6 Mg/m³. The value obtained for the electronic total energy is -4.855 eV/atom. Its density of states at the Fermi level is 3.466 states/eV per cell.

abc: 2.7700 4.7142 4.8214
angles: 90.00 92.11 90.00
Sites, in units of the cell vectors:
Li: 0.0000 0.0000 0.0000
Hg: 0.5000 0.0000 0.5000
Ir: 0.2364 0.5000 0.7715
Ir: 0.7636 0.5000 0.2285



5.
DFT (PBE) results for crystalline Tb2PrDy4Th at its relaxed geometry.

Values from the calculation:
Its space-group type is Pmmm (47). The mass density comes out at 8.6 Mg/m³. The value obtained for the electronic total energy is -4.953 eV/atom. Its density of states at the Fermi level is 11.150 states/eV per cell.

abc: 5.0652 5.0818 10.0394
angles: 90.00 90.00 90.00
Sites, in units of the cell vectors:
Tb: 0.0000 0.0000 0.0000
Tb: 0.5000 0.5000 0.5000
Pr: 0.0000 0.0000 0.5000
Dy: 0.0000 0.5000 0.2451
Dy: 0.0000 0.5000 0.7549
Dy: 0.5000 0.0000 0.2446
Dy: 0.5000 0.0000 0.7554
Th: 0.5000 0.5000 0.0000



6.
DFT (PBE) results for crystalline Rb2PtWBr6 at its relaxed geometry.

Values from the calculation:
Its space-group type is I4/mmm (139). The mass density comes out at 5.3 Mg/m³. Its density of states at the Fermi level is 8.948 states/eV per cell. The value obtained for the uncorrected formation energy is -623 meV per atom.

abc: 7.8971 7.8971 7.8971
angles: 124.36 124.36 82.61
Sites, in units of the cell vectors:
Rb: 0.2500 0.7500 0.5000
Rb: 0.7500 0.2500 0.5000
Pt: 0.0000 0.0000 0.0000
W: 0.5000 0.5000 0.0000
Br: 0.2487 0.2487 0.4974
Br: 0.2487 0.7513 0.0000
Br: 0.2816 0.2816 0.0000
Br: 0.7184 0.7184 0.0000
Br: 0.7513 0.2487 0.0000
Br: 0.7513 0.7513 0.5026



7.
DFT (PBE) results for crystalline Pm2AsS5 at its relaxed geometry.

Values from the calculation:
Its space-group type is Cm (8). The mass density comes out at 4.0 Mg/m³. Its density of states at the Fermi level is 4.207 states/eV per cell. The value obtained for the uncorrected formation energy is -1134 meV per atom.

abc: 9.1005 10.3605 5.1832
angles: 90.00 118.18 90.00
Sites, in units of the cell vectors:
Pm: 0.0000 0.2294 0.0000
Pm: 0.0000 0.7706 0.0000
Pm: 0.5000 0.2706 0.0000
Pm: 0.5000 0.7294 0.0000
As: 0.3483 0.0000 0.3951
As: 0.8483 0.5000 0.3951
S: 0.0274 0.5000 0.9108
S: 0.0828 0.0000 0.3498
S: 0.0919 0.0000 0.8360
S: 0.3421 0.2496 0.3664
S: 0.3421 0.7504 0.3664
S: 0.5274 0.0000 0.9108
S: 0.5828 0.5000 0.3498
S: 0.5919 0.5000 0.8360
S: 0.8421 0.2504 0.3664
S: 0.8421 0.7496 0.3664



8.
DFT (PBE) results for crystalline MnHIrPd2 at its relaxed geometry.

Values from the calculation:
Its space-group type is P4/mmm (123). The mass density comes out at 12.5 Mg/m³. The calculation puts the excess energy over the best structure of this formula in the dataset at 60 meV/atom. Its density of states at the Fermi level is 4.165 states/eV per cell.

abc: 3.8738 3.8738 4.0825
angles: 90.00 90.00 90.00
Sites, in units of the cell vectors:
Mn: 0.0000 0.0000 0.0000
H: 0.0000 0.0000 0.5000
Ir: 0.5000 0.5000 0.0000
Pd: 0.0000 0.5000 0.5000
Pd: 0.5000 0.0000 0.5000



9.
DFT (PBE) results for crystalline FeSiSCl2 at its relaxed geometry.

Values from the calculation:
Its space-group type is P4/mmm (123). The mass density comes out at 3.1 Mg/m³. The calculation puts the excess energy over the best structure of this formula in the dataset at 0 meV/atom. Its density of states at the Fermi level is 5.185 states/eV per cell. The value obtained for the uncorrected formation energy is 192 meV per atom.

abc: 4.6006 4.6006 4.7494
angles: 90.00 90.00 90.00
Sites, in units of the cell vectors:
Fe: 0.0000 0.0000 0.0000
Si: 0.5000 0.5000 0.5000
S: 0.0000 0.0000 0.5000
Cl: 0.0000 0.5000 0.0000
Cl: 0.5000 0.0000 0.0000



10.
DFT (PBE) results for crystalline TcSbIO2 at its relaxed geometry.

Values from the calculation:
Its space-group type is P4/mmm (123). The mass density comes out at 7.2 Mg/m³. The calculation puts the excess energy over the best structure of this formula in the dataset at 508 meV/atom. Its density of states at the Fermi level is 0.931 states/eV per cell. The value obtained for the uncorrected formation energy is 429 meV per atom.

abc: 3.9571 3.9571 5.6143
angles: 90.00 90.00 90.00
Sites, in units of the cell vectors:
Tc: 0.0000 0.0000 0.0000
Sb: 0.5000 0.5000 0.0000
I: 0.0000 0.0000 0.5000
O: 0.0000 0.5000 0.5000
O: 0.5000 0.0000 0.5000



11.
DFT (PBE) results for crystalline TaInRePt2 at its relaxed geometry.

Values from the calculation:
Its space-group type is P4/mmm (123). The mass density comes out at 12.5 Mg/m³. The value obtained for the electronic total energy is -6.773 eV/atom. Its density of states at the Fermi level is 6.331 states/eV per cell.

abc: 4.9301 4.9301 4.7703
angles: 90.00 90.00 90.00
Sites, in units of the cell vectors:
Ta: 0.0000 0.0000 0.0000
In: 0.5000 0.5000 0.0000
Re: 0.0000 0.0000 0.5000
Pt: 0.0000 0.5000 0.5000
Pt: 0.5000 0.0000 0.5000



12.
DFT (PBE) results for crystalline La4CuTcI2 at its relaxed geometry.

Values from the calculation:
Its space-group type is P2/m (10). The mass density comes out at 6.2 Mg/m³. Its density of states at the Fermi level is 3.504 states/eV per cell. The value obtained for the uncorrected formation energy is -591 meV per atom.

abc: 7.3105 4.2999 8.6713
angles: 90.00 106.62 90.00
Sites, in units of the cell vectors:
La: 0.2186 0.0000 0.1917
La: 0.2511 0.5000 0.8120
La: 0.7489 0.5000 0.1880
La: 0.7814 0.0000 0.8083
Cu: 0.5000 0.0000 0.0000
Tc: 0.0000 0.5000 0.0000
I: 0.0000 0.0000 0.5000
I: 0.5000 0.5000 0.5000